Compound: KAl4Fe
Source: Alexandria via LeMat-Bulk
Functional: PBE
Structure: optimized geometry

abc: 5.487 5.487 5.487
angles: 60.00 60.00 60.00
Atoms (fractional coordinates):
K: 0.000 0.000 0.000
Al: 0.126 0.625 0.625
Al: 0.625 0.126 0.625
Al: 0.625 0.625 0.126
Al: 0.625 0.625 0.625
Fe: 0.250 0.250 0.250

Results
- Energy of formation: 433 meV/atom
- Mass density: 2.884 g cm⁻³
- E_tot: -3.656 eV/atom
- M_tot: 2.5 μB/cell

Compound: Pr2DyBe
Source: Alexandria via LeMat-Bulk
Functional: PBE
Structure: optimized geometry

abc: 11.900 11.900 11.900
angles: 16.97 16.97 16.97
Atoms (fractional coordinates):
Pr: 0.084 0.084 0.084
Pr: 0.916 0.916 0.916
Dy: 0.500 0.500 0.500
Be: 0.000 0.000 0.000

Results
- Energy of formation: 685 meV/atom
- Mass density: 6.014 g cm⁻³
- E above lowest polymorph: 549 meV per atom
- E_tot: -3.786 eV/atom
- M_tot: 0.0 μB/cell

Compound: TaAlOs2
Source: Alexandria via LeMat-Bulk
Functional: PBE
Structure: optimized geometry

abc: 3.129 3.129 6.134
angles: 90.00 90.00 90.00
Atoms (fractional coordinates):
Ta: 0.000 0.000 0.000
Al: 0.000 0.000 0.500
Os: 0.500 0.500 0.256
Os: 0.500 0.500 0.744

Results
- Energy of formation: -512 meV/atom
- Mass density: 16.267 g cm⁻³
- E above lowest polymorph: 37 meV per atom
- E_tot: -10.026 eV/atom
- M_tot: 0.0 μB/cell

Compound: UTlSbN
Source: Alexandria via LeMat-Bulk
Functional: PBE
Structure: optimized geometry

abc: 4.061 4.061 11.248
angles: 90.00 90.00 90.00
Atoms (fractional coordinates):
U: 0.250 0.250 0.094
U: 0.750 0.750 0.906
Tl: 0.250 0.750 0.500
Tl: 0.750 0.250 0.500
Sb: 0.250 0.250 0.759
Sb: 0.750 0.750 0.241
N: 0.250 0.750 0.000
N: 0.750 0.250 0.000

Results
- E_form (uncorrected): -0.55 eV per atom
- Mass density: 10.351 g cm⁻³
- E_tot: -7.077 eV/atom
- M_tot: 1.4 μB/cell

Compound: EuLu2Tl
Source: Alexandria via LeMat-Bulk
Functional: PBE
Structure: optimized geometry

abc: 3.606 3.606 9.339
angles: 90.00 90.00 90.00
Atoms (fractional coordinates):
Eu: 0.000 0.000 0.000
Lu: 0.500 0.500 0.287
Lu: 0.500 0.500 0.713
Tl: 0.000 0.000 0.500

Results
- Energy of formation: -89 meV/atom
- Mass density: 9.659 g cm⁻³
- E above lowest polymorph: 22 meV per atom
- E_tot: -5.509 eV/atom
- M_tot: 7.4 μB/cell

Compound: ErTm2PaFe2
Source: Alexandria via LeMat-Bulk
Functional: PBE
Structure: optimized geometry

abc: 7.937 7.937 7.937
angles: 129.93 71.87 132.02
Atoms (fractional coordinates):
Er: 0.250 0.250 0.000
Er: 0.750 0.750 0.000
Tm: 0.202 0.687 0.889
Tm: 0.298 0.187 0.485
Tm: 0.702 0.813 0.515
Tm: 0.798 0.313 0.111
Pa: 0.250 0.750 0.500
Pa: 0.750 0.250 0.500
Fe: 0.098 0.304 0.401
Fe: 0.402 0.804 0.206
Fe: 0.598 0.196 0.794
Fe: 0.902 0.696 0.599

Results
- Energy of formation: -53 meV/atom
- Mass density: 10.107 g cm⁻³
- E_tot: -6.707 eV/atom
- M_tot: 0.0 μB/cell

Compound: ScAlW2
Source: Alexandria via LeMat-Bulk
Functional: PBE
Structure: optimized geometry

abc: 2.817 2.817 9.119
angles: 90.00 90.00 108.15
Atoms (fractional coordinates):
Sc: 0.000 0.000 0.000
Al: 0.500 0.500 0.729
W: 0.000 0.000 0.496
W: 0.500 0.500 0.258

Results
- Energy of formation: 33 meV/atom
- Mass density: 10.619 g cm⁻³
- E_tot: -8.962 eV/atom
- M_tot: 0.0 μB/cell

Compound: Zn3CuAg6
Source: Alexandria via LeMat-Bulk
Functional: PBE
Structure: optimized geometry

abc: 7.511 4.642 9.981
angles: 90.00 109.18 90.00
Atoms (fractional coordinates):
Zn: 0.102 0.250 0.235
Zn: 0.302 0.250 0.033
Zn: 0.306 0.750 0.372
Zn: 0.694 0.250 0.628
Zn: 0.698 0.750 0.967
Zn: 0.898 0.750 0.765
Cu: 0.101 0.750 0.568
Cu: 0.899 0.250 0.432
Ag: 0.083 0.250 0.717
Ag: 0.097 0.750 0.074
Ag: 0.286 0.750 0.865
Ag: 0.287 0.250 0.523
Ag: 0.498 0.250 0.836
Ag: 0.498 0.750 0.667
Ag: 0.502 0.250 0.333
Ag: 0.502 0.750 0.164
Ag: 0.713 0.750 0.477
Ag: 0.714 0.250 0.135
Ag: 0.903 0.250 0.926
Ag: 0.917 0.750 0.283

Results
- Energy of formation: 7 meV/atom
- Mass density: 9.165 g cm⁻³
- E_tot: -2.495 eV/atom
- M_tot: 0.0 μB/cell

- Look up the E_tot of the fourth one.
  -7.077 eV/atom

- Which formula does entry 5 have?
  EuLu2Tl